DFT (meta-GGA SCAN) results for NiOs2Rh at its PBEsol-relaxed geometry.

Calculated values
As for the theoretical density: 16.66 g/cm3. The value obtained for the total energy is -47.926 eV per atom.

Lattice parameters (Å, degrees): 2.6952 4.5007 8.9063 90.00 90.00 90.00
Sites, in units of the cell vectors:
Ni1 0.0000 0.0000 0.0000
Ni2 0.5000 0.5000 0.0000
Os1 0.0000 0.0000 0.5009
Os2 0.0000 0.5000 0.7607
Os3 0.5000 0.0000 0.7607
Os4 0.5000 0.5000 0.5009
Rh1 0.0000 0.5000 0.2422
Rh2 0.5000 0.0000 0.2422